VASP calculation (PBE+U) on CoGeO3 after structural relaxation.

Spin magnetization: 0.60 μB/atom
Total DFT energy (no corrections): -5.778 eV per atom

a = 3.681 Å, b = 3.681 Å, c = 3.681 Å
α = 90.00°, β = 90.00°, γ = 90.00°
Site moments in Bohr magnetons follow the coordinates.
Fractional coordinates of all 5 atoms:
Ge: 0.000 0.000 0.000  -0.01
Co: 0.500 0.500 0.500  2.74
O: 0.000 0.500 0.000  0.08
O: 0.000 0.000 0.500  0.05
O: 0.500 0.000 0.000  0.06